MnCu2Cl | Alexandria | PBE | optimized geometry; formation energy without anion corrections = 0.21 eV per formula unit; total moment = 4.3 μB/cell; final energy = -18.995 eV/f.u.
1.0
3.948 -1.577 0.000
3.948 1.577 0.000
-0.597 0.000 6.162
Mn Cu Cl
1 2 1
Direct
0.000 0.000 0.000
0.275 0.275 0.812
0.552 0.552 0.677
0.543 0.543 0.299